Record 1
ZrZn2Te2 | PBE | relaxed

```
ZrZn2Te2
1.0
-1.8009 1.8009 9.5007
1.8009 -1.8009 9.5007
1.8009 1.8009 -9.5007
Zr Zn Te
1 2 2
Direct
0.0000 0.0000 0.0000 Zr
0.2500 0.7500 0.5000 Zn
0.7500 0.2500 0.5000 Zn
0.4097 0.4097 0.0000 Te
0.5903 0.5903 0.0000 Te
```

Calculated values
density of states at the Fermi level: 2.4 states/eV per cell
formation energy (no corrections): -280 meV/atom
total magnetization: 0.00 Bohr magnetons per cell



Record 2
LuScAl2 | PBE | relaxed

```
LuScAl2
1.0
0.0000 3.4519 3.4519
3.4519 0.0000 3.4519
3.4519 3.4519 0.0000
Lu Sc Al
1 1 2
Direct
0.0000 0.0000 0.0000 Lu
0.5000 0.5000 0.5000 Sc
0.2500 0.2500 0.2500 Al
0.7500 0.7500 0.7500 Al
```

Calculated values
DFT formation energy: -0.403 eV/atom
density of states at the Fermi level: 1.5 states/eV per cell
total magnetization: 0.00 Bohr magnetons per cell



Record 3
Pm6Pr2Ho | PBE | relaxed

```
Pm6Pr2Ho
1.0
-1.7457 5.1616 8.7703
1.7457 -5.1616 8.7703
1.7457 5.1616 -8.7703
Pm Pr Ho
6 2 1
Direct
0.0213 0.8341 0.1872 Pm
0.3067 0.5000 0.8067 Pm
0.3531 0.1659 0.1872 Pm
0.6469 0.8341 0.8128 Pm
0.6933 0.5000 0.1933 Pm
0.9787 0.1659 0.8128 Pm
0.3331 0.3331 0.0000 Pr
0.6669 0.6669 0.0000 Pr
0.0000 0.0000 0.0000 Ho
```

Calculated values
DFT formation energy: 0.178 eV/atom
density of states at the Fermi level: 17.7 states/eV per cell
total magnetization: 0.00 Bohr magnetons per cell



Record 4
CaPmPr5Nd2 | PBE | relaxed

```
CaPmPr5Nd2
1.0
2.7956 -11.2650 0.0000
2.7956 11.2650 0.0000
0.0000 0.0000 10.5894
Ca Pm Pr Nd
2 2 10 4
Direct
0.1014 0.8986 0.5000 Ca
0.8986 0.1014 0.0000 Ca
0.2784 0.7216 0.0010 Pm
0.7216 0.2784 0.5010 Pm
0.0000 0.0000 0.2501 Pr
0.0000 0.0000 0.7501 Pr
0.1168 0.8832 0.0003 Pr
0.2208 0.7792 0.6946 Pr
0.2216 0.7784 0.3077 Pr
0.4985 0.5015 0.5004 Pr
0.5015 0.4985 0.0004 Pr
0.7784 0.2216 0.8077 Pr
0.7792 0.2208 0.1946 Pr
0.8832 0.1168 0.5003 Pr
0.3832 0.6168 0.7366 Nd
0.3839 0.6161 0.2637 Nd
0.6161 0.3839 0.7637 Nd
0.6168 0.3832 0.2366 Nd
```

Calculated values
DFT formation energy: 0.148 eV/atom
density of states at the Fermi level: 26.7 states/eV per cell
total magnetization: 0.00 Bohr magnetons per cell



Record 5
ZnTc2H | PBE | relaxed

```
ZnTc2H
1.0
1.4202 0.8199 6.5735
-1.4202 0.8199 6.5735
0.0000 -1.6399 6.5735
Zn Tc H
1 2 1
Direct
0.0000 0.0000 0.0000 Zn
0.2211 0.2211 0.2211 Tc
0.7789 0.7789 0.7789 Tc
0.5000 0.5000 0.5000 H
```

Calculated values
total DFT energy (no corrections): -6.332 eV per atom
density of states at the Fermi level: 2.1 states/eV per cell
total magnetization: 0.00 Bohr magnetons per cell



Record 6
K2InW | PBE | relaxed

```
K2InW
1.0
4.9102 -1.4921 0.0000
4.9102 1.4921 0.0000
-0.4282 0.0000 9.7540
K In W
2 1 1
Direct
0.0000 0.0000 0.0000 K
0.2334 0.2334 0.5942 K
0.7453 0.7453 0.2530 In
0.4815 0.4815 0.3349 W
```

Calculated values
DFT formation energy: 0.979 eV/atom
density of states at the Fermi level: 3.4 states/eV per cell
total magnetization: 1.42 Bohr magnetons per cell



Record 7
MnTl2Cd | PBE | relaxed

```
MnTl2Cd
1.0
1.6990 0.9809 9.8261
-1.6990 0.9809 9.8261
0.0000 -1.9618 9.8261
Mn Tl Cd
1 2 1
Direct
0.0000 0.0000 0.0000 Mn
0.2577 0.2577 0.2577 Tl
0.4929 0.4929 0.4929 Tl
0.7368 0.7368 0.7368 Cd
```

Calculated values
DFT formation energy: 0.309 eV/atom
density of states at the Fermi level: 2.4 states/eV per cell
total magnetization: 4.08 Bohr magnetons per cell



Record 8
Ca2HfCo | PBE | relaxed

```
Ca2HfCo
1.0
0.0000 3.6285 3.6285
3.6285 0.0000 3.6285
3.6285 3.6285 0.0000
Ca Hf Co
2 1 1
Direct
0.2500 0.2500 0.2500 Ca
0.7500 0.7500 0.7500 Ca
0.0000 0.0000 0.0000 Hf
0.5000 0.5000 0.5000 Co
```

Calculated values
DFT formation energy: 0.864 eV/atom
density of states at the Fermi level: 6.9 states/eV per cell
total magnetization: 0.00 Bohr magnetons per cell



Record 9
ReAs2S | PBE | relaxed

```
ReAs2S
1.0
-2.9233 2.9233 5.4063
2.9233 -2.9233 5.4063
2.9233 2.9233 -5.4063
Re As S
2 4 2
Direct
0.0000 0.0000 0.0000 Re
0.7500 0.2500 0.5000 Re
0.0951 0.6250 0.9701 As
0.3750 0.3451 0.4701 As
0.6549 0.1250 0.0299 As
0.8750 0.9049 0.5299 As
0.2500 0.7500 0.5000 S
0.5000 0.5000 0.0000 S
```

Calculated values
density of states at the Fermi level: 5.6 states/eV per cell
formation energy (no corrections): 551 meV/atom
total magnetization: 0.00 Bohr magnetons per cell



Record 10
Dy4Tm4Al | PBE | relaxed

```
Dy4Tm4Al
1.0
-5.2108 5.2108 2.3985
5.2108 -5.2108 2.3985
5.2108 5.2108 -2.3985
Dy Tm Al
4 4 1
Direct
0.1595 0.1595 0.3190 Dy
0.1595 0.8405 0.0000 Dy
0.8405 0.1595 0.0000 Dy
0.8405 0.8405 0.6810 Dy
0.1669 0.5000 0.6669 Tm
0.5000 0.1669 0.6669 Tm
0.5000 0.8331 0.3331 Tm
0.8331 0.5000 0.3331 Tm
0.5000 0.5000 0.0000 Al
```

Calculated values
DFT formation energy: -0.031 eV/atom
density of states at the Fermi level: 12.9 states/eV per cell
total magnetization: 0.00 Bohr magnetons per cell



- Which of these has the lowest density of states at the Fermi level?
  LuScAl2